8
Lattice="7.0060 0.0000 0.0000 0.0000 4.0695 0.0000 -2.3531 0.0000 6.6423" Properties=species:S:1:pos:R:3 comment="PrTm2ThP4, optimized geometry, DFT PBE" dft_energy_ev_per_atom=-6.924 e_form_ev_per_atom=-1.577 pbc="T T T"
Pr 0.0000 0.0000 0.0000
Tm 2.3265 0.0000 3.3211
Tm 3.5030 2.0348 0.0000
Th -1.1766 2.0348 3.3211
P 0.0687 0.0000 4.9914
P 1.2383 2.0348 1.7123
P 3.4146 2.0348 4.9300
P 4.5842 0.0000 1.6509

8
Lattice="7.0939 0.0000 0.0000 0.0000 4.1220 0.0000 -2.4012 0.0000 6.7272" Properties=species:S:1:pos:R:3 comment="PrTmTh2P4, optimized geometry, DFT PBE" dft_energy_ev_per_atom=-7.265 e_form_ev_per_atom=-1.549 pbc="T T T"
Pr 0.0000 0.0000 0.0000
Tm -1.2006 2.0610 3.3636
Th 2.3464 0.0000 3.3636
Th 3.5470 2.0610 0.0000
P -0.0421 0.0000 4.9898
P 1.1607 2.0610 1.7279
P 3.5320 2.0610 4.9993
P 4.7348 0.0000 1.7374

8
Lattice="6.9714 0.0000 0.0000 0.0000 4.0226 0.0000 -2.3202 0.0000 6.7148" Properties=species:S:1:pos:R:3 comment="PrThU2P4, optimized geometry, DFT PBE" dft_energy_ev_per_atom=-8.293 e_form_ev_per_atom=-1.241 pbc="T T T"
Pr 0.0000 0.0000 0.0000
Th 3.4857 2.0113 0.0000
U -1.1601 2.0113 3.3574
U 2.3256 0.0000 3.3574
P 0.0154 0.0000 4.9285
P 1.1774 2.0113 1.8027
P 3.4737 2.0113 4.9121
P 4.6358 0.0000 1.7863

8
Lattice="-2.9058 2.9058 5.8076 2.9058 -2.9058 5.8076 2.9058 2.9058 -5.8076" Properties=species:S:1:pos:R:3 comment="PrTh2UP4, optimized geometry, DFT PBE" dft_energy_ev_per_atom=-7.947 e_form_ev_per_atom=-1.379 pbc="T T T"
Pr 0.0000 0.0000 0.0000
Th 0.0000 0.0000 5.8076
Th 0.0000 2.9058 2.9038
U 2.9058 0.0000 2.9038
P 2.9058 0.0000 0.0821
P 0.0000 0.0000 2.9227
P 2.9058 0.0000 5.7255
P 0.0000 0.0000 8.6926

12
Lattice="9.0315 -2.0653 0.0000 9.0315 2.0653 0.0000 -1.9445 0.0000 8.0690" Properties=species:S:1:pos:R:3 comment="Pr3Th2UP6, optimized geometry, DFT PBE" dft_energy_ev_per_atom=-7.517 e_form_ev_per_atom=-1.440 pbc="T T T"
Pr 0.0000 0.0000 0.0000
Pr 4.7027 0.0000 5.3836
Pr 11.4158 0.0000 2.6854
Th 5.7175 0.0000 1.3564
Th 10.4010 0.0000 6.7126
U -0.9722 0.0000 4.0345
P 1.7720 0.0000 4.7081
P 2.8881 0.0000 0.6419
P 8.5115 0.0000 2.1377
P 7.6070 0.0000 5.9313
P 13.2304 0.0000 7.4271
P 14.3465 0.0000 3.3609

8
Lattice="-2.9145 2.9145 5.8275 2.9145 -2.9145 5.8275 2.9145 2.9145 -5.8275" Properties=species:S:1:pos:R:3 comment="Pr2ThUP4, optimized geometry, DFT PBE" dft_energy_ev_per_atom=-7.613 e_form_ev_per_atom=-1.375 pbc="T T T"
Pr 0.0000 0.0000 0.0000
Pr 0.0000 2.9145 2.9138
Th 2.9145 0.0000 2.9138
U 0.0000 0.0000 5.8275
P 2.9145 0.0000 0.0287
P 0.0000 0.0000 3.0392
P 2.9145 0.0000 5.7988
P 0.0000 0.0000 8.6158